Computed, not measured: an optimized crystal structure of Pm4HoEr3 at the PBE level of DFT. Values from VASP.

Output
Energy, eV per atom: -4.635
Total magnetization, μB per atom: 0.00

Cell and atoms, written as Quantum ESPRESSO input:
```
&SYSTEM
  ibrav = 0, nat = 16, ntyp = 3
/
ATOMIC_SPECIES
Pm 145.00 Pm.upf
Ho 164.93 Ho.upf
Er 167.26 Er.upf
CELL_PARAMETERS angstrom
6.286 0.000 0.000
0.000 7.295 0.000
0.000 0.000 11.460
ATOMIC_POSITIONS crystal
Pm 0.145 0.872 0.000
Pm 0.648 0.128 0.000
Pm 0.982 0.128 0.251
Pm 0.482 0.872 0.249
Pm 0.148 0.872 0.500
Pm 0.645 0.128 0.500
Pm 0.482 0.872 0.751
Pm 0.982 0.128 0.749
Ho 0.149 0.378 0.000
Ho 0.649 0.622 0.500
Er 0.648 0.621 0.000
Er 0.981 0.621 0.250
Er 0.481 0.379 0.250
Er 0.148 0.379 0.500
Er 0.481 0.379 0.750
Er 0.981 0.621 0.750
```